Version 1
Sc2HPdPt after structural relaxation, computed with PBE.

The space group is P4/mmm (No. 123) and the conventional cell measures 4.5815, 4.5815 and 3.6007 Å, with angles of 90.00, 90.00 and 90.00 degrees. Symmetry generates all atoms from Sc at (0.0000, 0.5000, 0.0000), H at (0.0000, 0.0000, 0.0000), Pd at (0.5000, 0.5000, 0.5000) and Pt at (0.0000, 0.0000, 0.5000).

The total magnetic moment comes out at 0.00 μB per cell.



Version 2
Sc2HPdPt after structural relaxation, computed with PBE.

The space group is P4/mmm (No. 123) and the conventional cell measures 4.5870, 4.5870 and 3.5626 Å, with angles of 90.00, 90.00 and 90.00 degrees. Symmetry generates all atoms from Sc at (0.0000, 0.5000, 0.0000), H at (0.0000, 0.0000, 0.0000), Pd at (0.0000, 0.0000, 0.5000) and Pt at (0.5000, 0.5000, 0.5000).

The total magnetic moment comes out at 0.00 μB per cell.



What should be chosen as the least stable of them? Choose version 1.



Version 1
SnHPd2Pt after structural relaxation, computed with PBE.

The space group is P4/mmm (No. 123) and the conventional cell measures 3.9430, 3.9430 and 4.5224 Å, with angles of 90.00, 90.00 and 90.00 degrees. Symmetry generates all atoms from Sn at (0.0000, 0.0000, 0.0000), H at (0.0000, 0.0000, 0.5000), Pd at (0.0000, 0.5000, 0.5000) and Pt at (0.5000, 0.5000, 0.0000).

The total magnetic moment comes out at 0.00 μB per cell.



Version 2
SnHPd2Pt after structural relaxation, computed with PBE.

The space group is P4/mmm (No. 123) and the conventional cell measures 4.1168, 4.1168 and 4.0730 Å, with angles of 90.00, 90.00 and 90.00 degrees. Symmetry generates all atoms from Sn at (0.0000, 0.0000, 0.0000), H at (0.5000, 0.5000, 0.5000), Pd at (0.0000, 0.5000, 0.5000) and Pt at (0.5000, 0.5000, 0.0000).

The total magnetic moment comes out at 0.00 μB per cell.



What should be chosen as the least stable of them? Choose version 1.



Version 1
TlHPdPt2 after structural relaxation, computed with PBE.

The space group is P4/mmm (No. 123) and the conventional cell measures 3.9554, 3.9554 and 4.6534 Å, with angles of 90.00, 90.00 and 90.00 degrees. Symmetry generates all atoms from Tl at (0.0000, 0.0000, 0.0000), H at (0.0000, 0.0000, 0.5000), Pd at (0.5000, 0.5000, 0.0000) and Pt at (0.0000, 0.5000, 0.5000).

The total magnetic moment comes out at 0.00 μB per cell.



Version 2
TlHPdPt2 after structural relaxation, computed with PBE.

The space group is P4/mmm (No. 123) and the conventional cell measures 4.0785, 4.0785 and 4.2756 Å, with angles of 90.00, 90.00 and 90.00 degrees. Symmetry generates all atoms from Tl at (0.0000, 0.0000, 0.0000), H at (0.5000, 0.5000, 0.5000), Pd at (0.5000, 0.5000, 0.0000) and Pt at (0.0000, 0.5000, 0.5000).

The total magnetic moment comes out at 0.00 μB per cell.



What should be chosen as the least stable of them? Choose version 1.



Version 1
VHPd2Pt after structural relaxation, computed with PBE.

The space group is P4/mmm (No. 123) and the conventional cell measures 3.8862, 3.8862 and 4.0533 Å, with angles of 90.00, 90.00 and 90.00 degrees. Symmetry generates all atoms from V at (0.0000, 0.0000, 0.0000), H at (0.0000, 0.0000, 0.5000), Pd at (0.0000, 0.5000, 0.5000) and Pt at (0.5000, 0.5000, 0.0000).

The total magnetic moment comes out at 2.06 μB per cell.



Version 2
VHPd2Pt after structural relaxation, computed with PBE.

The space group is P4/mmm (No. 123) and the conventional cell measures 3.9802, 3.9802 and 3.9958 Å, with angles of 90.00, 90.00 and 90.00 degrees. Symmetry generates all atoms from V at (0.0000, 0.0000, 0.0000), H at (0.5000, 0.5000, 0.5000), Pd at (0.0000, 0.5000, 0.5000) and Pt at (0.5000, 0.5000, 0.0000).

The total magnetic moment comes out at 2.18 μB per cell.



What should be chosen as the least stable of them? Choose version 2.



Version 1
YHPdPt2 after structural relaxation, computed with PBE.

The space group is P4/mmm (No. 123) and the conventional cell measures 4.0408, 4.0408 and 4.4833 Å, with angles of 90.00, 90.00 and 90.00 degrees. Symmetry generates all atoms from Y at (0.0000, 0.0000, 0.0000), H at (0.0000, 0.0000, 0.5000), Pd at (0.5000, 0.5000, 0.0000) and Pt at (0.0000, 0.5000, 0.5000).

The total magnetic moment comes out at 0.00 μB per cell.



Version 2
YHPdPt2 after structural relaxation, computed with PBE.

The space group is P4/mmm (No. 123) and the conventional cell measures 4.1440, 4.1440 and 4.2402 Å, with angles of 90.00, 90.00 and 90.00 degrees. Symmetry generates all atoms from Y at (0.0000, 0.0000, 0.0000), H at (0.5000, 0.5000, 0.5000), Pd at (0.5000, 0.5000, 0.0000) and Pt at (0.0000, 0.5000, 0.5000).

The total magnetic moment comes out at 0.00 μB per cell.



What should be chosen as the least stable of them? Choose version 1.



Version 1
ZrHPd2Pt after structural relaxation, computed with PBE.

The space group is P4/mmm (No. 123) and the conventional cell measures 4.0097, 4.0097 and 4.3020 Å, with angles of 90.00, 90.00 and 90.00 degrees. Symmetry generates all atoms from Zr at (0.0000, 0.0000, 0.0000), H at (0.0000, 0.0000, 0.5000), Pd at (0.0000, 0.5000, 0.5000) and Pt at (0.5000, 0.5000, 0.0000).

The total magnetic moment comes out at 0.00 μB per cell.



Version 2
ZrHPd2Pt after structural relaxation, computed with PBE.

The space group is P4/mmm (No. 123) and the conventional cell measures 4.0382, 4.0382 and 4.2631 Å, with angles of 90.00, 90.00 and 90.00 degrees. Symmetry generates all atoms from Zr at (0.0000, 0.0000, 0.0000), H at (0.5000, 0.5000, 0.5000), Pd at (0.0000, 0.5000, 0.5000) and Pt at (0.5000, 0.5000, 0.0000).

The total magnetic moment comes out at 0.00 μB per cell.



What should be chosen as the least stable of them? Choose version 2.



Version 1
ZrHPdPt2 after structural relaxation, computed with PBE.

The space group is P4/mmm (No. 123) and the conventional cell measures 4.0666, 4.0666 and 4.2133 Å, with angles of 90.00, 90.00 and 90.00 degrees. Symmetry generates all atoms from Zr at (0.0000, 0.0000, 0.0000), H at (0.5000, 0.5000, 0.5000), Pd at (0.5000, 0.5000, 0.0000) and Pt at (0.0000, 0.5000, 0.5000).

The total magnetic moment comes out at 0.00 μB per cell.



Version 2
ZrHPdPt2 after structural relaxation, computed with PBE.

The space group is P4/mmm (No. 123) and the conventional cell measures 4.0327, 4.0327 and 4.2750 Å, with angles of 90.00, 90.00 and 90.00 degrees. Symmetry generates all atoms from Zr at (0.0000, 0.0000, 0.0000), H at (0.0000, 0.0000, 0.5000), Pd at (0.5000, 0.5000, 0.0000) and Pt at (0.0000, 0.5000, 0.5000).

The total magnetic moment comes out at 0.00 μB per cell.



What should be chosen as the least stable of them? Choose version 1.



Version 1
PuHPd after structural relaxation, computed with PBE.

The space group is P3m1 (No. 156) and the conventional cell measures 3.8869, 3.8869 and 3.7486 Å, with angles of 90.00, 90.00 and 120.00 degrees. Symmetry generates all atoms from Pu at (0.0000, 0.0000, 0.0000), H at (0.3333, 0.6667, 0.4979) and Pd at (0.6667, 0.3333, 0.5000).

The total magnetic moment comes out at 5.42 μB per cell.



Version 2
PuHPd after structural relaxation, computed with PBE.

The space group is I4mm (No. 107) and the conventional cell measures 3.9757, 3.9757 and 6.9999 Å, with angles of 90.00, 90.00 and 90.00 degrees. Symmetry generates all atoms from Pu at (0.0000, 0.0000, 0.0000), H at (0.0000, 0.0000, 0.3280) and Pd at (0.0000, 0.0000, 0.5710).

The total magnetic moment comes out at 10.84 μB per cell.



What should be chosen as the least stable of them? Choose version 2.